Record 1
# NiF

An optimized crystal structure of NiF (GGA+U, Alexandria).

POSCAR file:
```
NiF
1.0
2.923 0.000 0.000
0.000 10.078 0.000
0.000 0.000 4.907
Ni F
6 6
Direct
0.000 0.000 0.000
0.000 0.366 0.150
0.000 0.634 0.150
0.500 0.134 0.650
0.500 0.500 0.500
0.500 0.866 0.650
0.000 0.000 0.428
0.000 0.260 0.787
0.000 0.740 0.787
0.500 0.240 0.287
0.500 0.500 0.928
0.500 0.760 0.287
```

## Properties
total energy = -3.251 eV/atom
symmetry = Imm2 (44)

=====

Record 2
# NiF

An optimized crystal structure of NiF (GGA+U, Alexandria).

POSCAR file:
```
NiF
1.0
4.777 0.000 0.000
0.000 4.777 0.000
0.000 0.000 4.777
Ni F
4 4
Direct
0.000 0.000 0.000
0.000 0.500 0.500
0.500 0.000 0.500
0.500 0.500 0.000
0.250 0.250 0.250
0.250 0.750 0.750
0.750 0.250 0.750
0.750 0.750 0.250
```

## Properties
total energy = -2.428 eV/atom
symmetry = F-43m (216)

=====

Record 3
# NiF

An optimized crystal structure of NiF (GGA+U, Alexandria).

POSCAR file:
```
NiF
1.0
8.576 0.000 0.000
-4.288 7.427 0.000
0.000 0.000 2.851
Ni F
6 6
Direct
0.139 0.569 0.250
0.431 0.569 0.250
0.431 0.861 0.250
0.569 0.139 0.750
0.569 0.431 0.750
0.861 0.431 0.750
0.189 0.378 0.250
0.189 0.811 0.250
0.378 0.189 0.750
0.622 0.811 0.250
0.811 0.189 0.750
0.811 0.622 0.750
```

## Properties
total energy = -2.897 eV/atom
symmetry = P6_3/mmc (194)